Below is a geometry-optimized Zr2CdIr structure, with properties calculated at the GGA-PBE level. Values from VASP.

Summary:
As for the spin magnetization: 0.00 μB/f.u. For the calculated formation energy, the calculation gives -0.074 eV per atom.

Quantum ESPRESSO input file:
```
&SYSTEM
  ibrav = 0, nat = 12, ntyp = 3
/
ATOMIC_SPECIES
Zr 91.22 Zr.upf
Cd 112.41 Cd.upf
Ir 192.22 Ir.upf
CELL_PARAMETERS angstrom
3.1635 0.0000 0.0000
-1.5817 2.7396 0.0000
0.0000 0.0000 28.4887
ATOMIC_POSITIONS angstrom
Zr 0.0000 0.0000 0.0000
Zr 0.0000 0.0000 6.9476
Zr 0.0000 1.8264 18.9925
Zr 0.0000 1.8264 25.9401
Zr 1.5817 0.9132 9.4962
Zr 1.5817 0.9132 16.4439
Cd 0.0000 0.0000 21.6170
Cd 0.0000 1.8264 12.1208
Cd 1.5817 0.9132 2.6245
Ir 0.0000 0.0000 14.4119
Ir 0.0000 1.8264 4.9156
Ir 1.5817 0.9132 23.9081
```

---

Below is a geometry-optimized ErTmCo2 structure, with properties calculated at the GGA-PBE level. Values from VASP.

Summary:
As for the spin magnetization: 0.69 μB/f.u. For the calculated formation energy, the calculation gives -0.210 eV per atom. The energy above the most stable polymorph in this dataset is 41 meV per atom.

Quantum ESPRESSO input file:
```
&SYSTEM
  ibrav = 0, nat = 4, ntyp = 3
/
ATOMIC_SPECIES
Er 167.26 Er.upf
Tm 168.93 Tm.upf
Co 58.93 Co.upf
CELL_PARAMETERS angstrom
4.6537 0.0000 0.0000
0.0000 4.6537 0.0000
0.0000 0.0000 3.3073
ATOMIC_POSITIONS angstrom
Er 0.0000 0.0000 0.0000
Tm 2.3268 2.3268 0.0000
Co 0.0000 2.3268 1.6536
Co 2.3268 0.0000 1.6536
```

---

Below is a geometry-optimized UGaAu2 structure, with properties calculated at the GGA-PBE level. Values from VASP.

Summary:
As for the spin magnetization: 2.89 μB/f.u. For the calculated formation energy, the calculation gives -0.038 eV per atom.

Quantum ESPRESSO input file:
```
&SYSTEM
  ibrav = 0, nat = 4, ntyp = 3
/
ATOMIC_SPECIES
U 238.03 U.upf
Ga 69.72 Ga.upf
Au 196.97 Au.upf
CELL_PARAMETERS angstrom
4.5467 0.0000 0.0000
0.0000 4.5467 0.0000
0.0000 0.0000 4.1237
ATOMIC_POSITIONS angstrom
U 0.0000 0.0000 0.0000
Ga 2.2733 2.2733 0.0000
Au 0.0000 2.2733 2.0618
Au 2.2733 0.0000 2.0618
```